First-principles (PBE with a Hubbard U) data for an optimized crystal structure of Al3FeO, as listed in the Alexandria database.

Values from the calculation:
Its polymorph energy (0 for the lowest one) is 0.000 eV per formula unit. The value obtained for the magnetization is 2.71 μB/cell.

Cell lengths 4.069, 4.069, 4.069 Å; angles 90.00, 90.00, 90.00 degrees
Positions (direct):
Al 0.500 0.000 0.000
Al 0.000 0.000 0.500
Fe 0.500 0.500 0.500
Al 0.000 0.500 0.000
O 0.000 0.000 0.000